Here is crystalline CrW2Cl at its relaxed geometry from Alexandria. Energies are from PBEsol.

* calculated total energy: -9.51 eV per atom
* formation energy from raw total energies: 0.459 eV per atom

Cell: 2.883 2.883 24.739 Å, 90.00 90.00 120.00°
Sites, in units of the cell vectors:
Cr 0.000 0.000 0.000
Cr 0.333 0.667 0.667
Cr 0.667 0.333 0.333
W 0.000 0.000 0.255
W 0.000 0.000 0.498
W 0.333 0.667 0.165
W 0.333 0.667 0.922
W 0.667 0.333 0.588
W 0.667 0.333 0.831
Cl 0.000 0.000 0.742
Cl 0.333 0.667 0.409
Cl 0.667 0.333 0.076